Record 1
The following is a DFT calculation (GGA-PBE) of a relaxed CuSi3S crystal.

For the total moment, the calculation gives 0.00 μB/f.u. The value obtained for the energy above the most stable polymorph in this dataset is 1.35 eV/f.u. The value obtained for the formation energy (no corrections) is 1.0211 eV per atom.

The structure belongs to space group Pm-3m (No. 221); the cell edges are 4.498, 4.498 and 4.498 Å and the angles 90.00°, 90.00° and 90.00°. The asymmetric unit holds Cu at (0.000, 0.000, 0.000), Si at (0.000, 0.500, 0.500) and S at (0.500, 0.500, 0.500).

Record 2
The following is a DFT calculation (GGA-PBE) of a relaxed Na7SnHg2 crystal.

The value obtained for the energy relative to the elements is -0.1249 eV/atom. For the total moment, the calculation gives 0.00 μB/f.u.

The structure belongs to space group P3m1 (No. 156); the cell edges are 5.3934, 5.3934 and 12.6084 Å and the angles 90.00°, 90.00° and 120.00°. The asymmetric unit holds Na at (0.0000, 0.0000, 0.0000), Na at (0.0000, 0.0000, 0.2438), Na at (0.0000, 0.0000, 0.7297), Na at (0.3333, 0.6667, 0.3948), Na at (0.3333, 0.6667, 0.8736), Na at (0.6667, 0.3333, 0.1212), Na at (0.6667, 0.3333, 0.5750), Sn at (0.3333, 0.6667, 0.1316), Hg at (0.0000, 0.0000, 0.4856) and Hg at (0.6667, 0.3333, 0.8499).

Record 3
The following is a DFT calculation (GGA-PBE) of a relaxed CaTlCd2Rh crystal.

The value obtained for the energy relative to the elements is -0.0786 eV/atom. For the total moment, the calculation gives 0.00 μB/f.u. The value obtained for the energy above the most stable polymorph in this dataset is 0.04 eV/f.u.

The structure belongs to space group P4/mmm (No. 123); the cell edges are 5.257, 5.257 and 5.221 Å and the angles 90.00°, 90.00° and 90.00°. The asymmetric unit holds Ca at (0.000, 0.000, 0.000), Tl at (0.500, 0.500, 0.000), Cd at (0.000, 0.500, 0.500) and Rh at (0.000, 0.000, 0.500).

> Number 1 is which compound?

CuSi3S